No. 1
{
  "formula": "Li2ZnAs",
  "functional": "PBE",
  "state": "relaxed",
  "lattice_angstrom": [[0.000, 3.129, 3.129], [3.129, 0.000, 3.129], [3.129, 3.129, 0.000]],
  "species": ["Zn", "Li", "Li", "As"],
  "fractional_positions": [[0.000, 0.000, 0.000], [0.750, 0.750, 0.750], [0.250, 0.250, 0.250], [0.500, 0.500, 0.500]],
  "e_form_ev_per_atom": -0.396,
  "relative_energy_mev_per_atom": 3,
  "spacegroup": "Fm-3m"
}

No. 2
{
  "formula": "AcEr2Sc",
  "functional": "PBE",
  "state": "relaxed",
  "lattice_angstrom": [[5.184, 0.000, 0.000], [0.000, 4.984, 0.000], [0.000, 0.000, 4.984]],
  "species": ["Sc", "Er", "Er", "Ac"],
  "fractional_positions": [[0.500, 0.000, 0.000], [0.000, 0.500, 0.000], [0.000, 0.000, 0.500], [0.500, 0.500, 0.500]],
  "e_form_ev_per_atom": 0.100,
  "relative_energy_mev_per_atom": 7,
  "spacegroup": "P4/mmm"
}

No. 3
{
  "formula": "CsS6I",
  "functional": "PBE",
  "state": "relaxed",
  "lattice_angstrom": [[-0.783, -4.078, -6.701], [1.993, -0.520, -6.689], [4.227, -7.578, 1.124]],
  "species": ["Cs", "S", "S", "S", "S", "S", "S", "I"],
  "fractional_positions": [[0.000, 0.000, 0.000], [0.636, 0.798, 0.696], [0.652, 0.701, 0.306], [0.364, 0.202, 0.304], [0.867, 0.637, 0.852], [0.348, 0.299, 0.694], [0.133, 0.363, 0.148], [0.000, 0.000, 0.500]],
  "raw_formation_energy_ev_per_fu": -2.04,
  "spacegroup": "P-1"
}

No. 4
{
  "formula": "TbPr3",
  "functional": "PBE",
  "state": "relaxed",
  "lattice_angstrom": [[-2.538, -6.985, 0.314], [2.656, 2.708, -6.399], [5.434, -1.909, 1.448]],
  "species": ["Pr", "Pr", "Pr", "Pr", "Pr", "Pr", "Tb", "Tb"],
  "fractional_positions": [[0.168, 0.832, 0.250], [0.832, 0.168, 0.750], [0.665, 0.832, 0.250], [0.168, 0.335, 0.250], [0.335, 0.168, 0.750], [0.832, 0.665, 0.750], [0.333, 0.667, 0.750], [0.667, 0.333, 0.250]],
  "e_form_ev_per_atom": 0.030,
  "relative_energy_mev_per_atom": 16,
  "spacegroup": "P6_3/mmc"
}

No. 5
{
  "formula": "CsPrTeS",
  "functional": "PBE",
  "state": "relaxed",
  "lattice_angstrom": [[4.451, 0.000, 0.000], [-2.225, 3.855, 0.000], [-2.224, -1.286, 8.716]],
  "species": ["S", "Cs", "Te", "Pr"],
  "fractional_positions": [[0.514, 0.155, 0.684], [0.975, 0.386, 0.375], [0.102, 0.949, 0.066], [0.287, 0.542, 0.844]],
  "raw_formation_energy_ev_per_fu": -6.24,
  "spacegroup": "R3m"
}

No. 6
{
  "formula": "ThZn2Cu",
  "functional": "PBE",
  "state": "relaxed",
  "lattice_angstrom": [[-1.797, -3.426, -1.687], [-1.383, -3.106, 2.501], [-5.610, 0.072, 0.550]],
  "species": ["Cu", "Th", "Zn", "Zn"],
  "fractional_positions": [[0.500, 0.500, 0.500], [0.000, 0.000, 0.000], [0.791, 0.791, 0.626], [0.209, 0.209, 0.374]],
  "e_form_ev_per_atom": -0.167,
  "spacegroup": "R-3m"
}

No. 7
{
  "formula": "LaPm2Nd6",
  "functional": "PBE",
  "state": "relaxed",
  "lattice_angstrom": [[3.201, 0.558, 1.513], [2.984, 9.721, 7.089], [2.091, 1.074, 12.171]],
  "species": ["Pm", "Pm", "Nd", "Nd", "Nd", "Nd", "Nd", "Nd", "La"],
  "fractional_positions": [[0.667, 0.333, 0.333], [0.333, 0.667, 0.667], [0.170, 0.664, 0.001], [0.170, 0.001, 0.664], [0.500, 0.666, 0.334], [0.830, 0.999, 0.336], [0.830, 0.336, 0.999], [0.500, 0.334, 0.666], [0.000, 0.000, 0.000]],
  "e_form_ev_per_atom": 0.048,
  "relative_energy_mev_per_atom": 0,
  "spacegroup": "Cmmm"
}

No. 8
{
  "formula": "K4CuRh3O8",
  "functional": "PBE",
  "state": "relaxed",
  "lattice_angstrom": [[-4.196, -0.677, 4.871], [-4.719, -2.377, -4.396], [5.727, -2.997, 0.227]],
  "species": ["K", "K", "K", "K", "O", "O", "O", "O", "O", "O", "O", "O", "Rh", "Rh", "Rh", "Cu"],
  "fractional_positions": [[0.500, 0.000, 0.500], [0.000, 0.000, 0.500], [0.000, 0.000, 0.000], [0.500, 0.000, 0.000], [0.277, 0.330, 0.553], [0.227, 0.670, 0.454], [0.723, 0.670, 0.447], [0.284, 0.330, 0.057], [0.716, 0.670, 0.943], [0.227, 0.670, 0.943], [0.773, 0.330, 0.546], [0.773, 0.330, 0.057], [0.500, 0.500, 0.500], [0.500, 0.500, 0.000], [0.000, 0.500, 0.500], [0.000, 0.500, 0.000]],
  "raw_formation_energy_ev_per_fu": -15.92,
  "spacegroup": "R-3m"
}

No. 9
{
  "formula": "K2TiPbCl8",
  "functional": "PBE",
  "state": "relaxed",
  "lattice_angstrom": [[7.061, -0.102, -0.004], [-0.075, 6.578, -0.006], [0.004, 0.011, 8.486]],
  "species": ["Cl", "Cl", "Cl", "Cl", "Cl", "Cl", "Cl", "Cl", "K", "K", "Ti", "Pb"],
  "fractional_positions": [[0.872, 0.210, 0.799], [0.318, 0.256, 0.500], [0.721, 0.802, 0.000], [0.128, 0.790, 0.799], [0.872, 0.210, 0.201], [0.128, 0.790, 0.201], [0.682, 0.744, 0.500], [0.279, 0.198, 0.000], [0.500, 0.500, 0.241], [0.500, 0.500, 0.759], [0.000, 0.000, 0.000], [0.000, 0.000, 0.500]],
  "raw_formation_energy_ev_per_fu": -18.72,
  "spacegroup": "P2/m"
}

No. 10
{
  "formula": "Th3SnSe2",
  "functional": "PBE",
  "state": "relaxed",
  "lattice_angstrom": [[4.243, 0.000, -1.202], [-0.650, 5.644, -2.294], [-0.205, -0.339, 7.367]],
  "species": ["Th", "Th", "Th", "Se", "Se", "Sn"],
  "fractional_positions": [[0.000, 0.000, 0.000], [0.677, 0.676, 0.354], [0.323, 0.324, 0.646], [0.338, 0.839, 0.676], [0.662, 0.161, 0.324], [0.000, 0.500, 0.000]],
  "raw_formation_energy_ev_per_fu": -7.09,
  "spacegroup": "C2/m"
}

No. 11
{
  "formula": "LaIrF2",
  "functional": "PBE",
  "state": "relaxed",
  "lattice_angstrom": [[-3.375, 4.873, 0.156], [-4.077, 2.588, 3.441], [-0.743, 4.903, 3.252]],
  "species": ["F", "F", "Ir", "La"],
  "fractional_positions": [[0.705, 0.705, 0.705], [0.295, 0.295, 0.295], [0.500, 0.500, 0.500], [0.000, 0.000, 0.000]],
  "raw_formation_energy_ev_per_fu": -6.65,
  "relative_energy_mev_per_atom": 0,
  "spacegroup": "R-3m"
}

No. 12
{
  "formula": "CaPtN2",
  "functional": "PBE",
  "state": "relaxed",
  "lattice_angstrom": [[-1.357, 1.183, 3.639], [-2.809, 2.918, 0.269], [-3.781, -0.923, 1.155]],
  "species": ["Pt", "N", "N", "Ca"],
  "fractional_positions": [[0.500, 0.500, 0.500], [0.250, 0.250, 0.250], [0.750, 0.750, 0.750], [0.000, 0.000, 0.000]],
  "raw_formation_energy_ev_per_fu": 2.52,
  "relative_energy_mev_per_atom": 492,
  "spacegroup": "Fm-3m"
}